Computed, not measured: NbH2Br after structural relaxation at the GGA-PBEsol level of DFT.

a = 5.6396 Å, b = 5.6396 Å, c = 5.6396 Å
α = 90.00°, β = 90.00°, γ = 90.00°
With the nearest neighbours (Å) after each atom.
Space group Fm-3m (No. 225)
Unique sites:
Nb1 0.0000 0.0000 0.0000 (multiplicity 4)  8 H 2.44
H1 0.2500 0.2500 0.2500 (multiplicity 8)  4 Nb 2.44, 4 Br 2.44
Br1 0.0000 0.0000 0.5000 (multiplicity 4)  8 H 2.44

Calculated values
As for the crystal system: cubic. As for the mass density: 6.47 Mg/m³. As for the magnetization: 1.21 μB/f.u. The calculated total energy comes out at -4.01 eV/atom.